Record 1
Density functional theory data (PBE) for a geometry-optimized CaTb4Hg5 structure.

Lattice parameters (Å, degrees): 3.739 3.739 18.822 90.00 90.00 90.00
Space group P4/mmm (No. 123)
One atom of each set of equivalent atoms:
Ca 0.000 0.000 0.000 x1
Tb 0.000 0.000 0.202 x2
Tb 0.000 0.000 0.400 x2
Hg 0.500 0.500 0.106 x2
Hg 0.500 0.500 0.302 x2
Hg 0.500 0.500 0.500 x1

Output
Formation enthalpy at 0 K = -0.50 eV/atom
V = 263 Å³/cell
Density of states at the Fermi level = 9.23 states/eV/cell
VASP energy = -2.71 eV per atom

---

Record 2
Density functional theory data (PBE) for a geometry-optimized NaPrSnRh structure.

Lattice parameters (Å, degrees): 7.035 7.035 7.035 90.00 90.00 90.00
Space group F-43m (No. 216)
One atom of each set of equivalent atoms:
Na 0.000 0.000 0.000 x4
Pr 0.250 0.250 0.750 x4
Sn 0.250 0.250 0.250 x4
Rh 0.000 0.000 0.500 x4

Output
Formation enthalpy at 0 K = -0.41 eV/atom
V = 348 Å³/cell
Density of states at the Fermi level = 27.15 states/eV/cell
VASP energy = -4.77 eV per atom

---

Record 3
Density functional theory data (PBE) for a geometry-optimized CdPO3 structure.

Lattice parameters (Å, degrees): 3.667 3.667 3.667 90.00 90.00 90.00
Space group Pm-3m (No. 221)
One atom of each set of equivalent atoms:
Cd 0.000 0.000 0.000 x1
P 0.500 0.500 0.500 x1
O 0.000 0.500 0.500 x3

Output
V = 49 Å³/cell
Formation energy (no corrections) = -0.94 eV per atom
Density of states at the Fermi level = 0.73 states/eV/cell
VASP energy = -5.18 eV per atom

---

Record 4
Density functional theory data (PBE) for a geometry-optimized Ta6Os5W structure.

Lattice parameters (Å, degrees): 4.437 13.322 6.632 90.00 90.00 90.00
Space group Cmmm (No. 65)
One atom of each set of equivalent atoms:
Ta 0.000 0.000 0.247 x4
Ta 0.000 0.333 0.249 x8
Os 0.000 0.166 0.500 x4
Os 0.000 0.169 0.000 x4
Os 0.000 0.500 0.500 x2
W 0.000 0.500 0.000 x2

Output
Formation enthalpy at 0 K = -0.26 eV/atom
V = 392 Å³/cell
Density of states at the Fermi level = 16.49 states/eV/cell
VASP energy = -11.95 eV per atom

---

Record 5
Density functional theory data (PBE) for a geometry-optimized BeBi2OsPb structure.

Lattice parameters (Å, degrees): 5.311 5.311 5.289 90.00 90.00 90.00
Space group P4/mmm (No. 123)
One atom of each set of equivalent atoms:
Be 0.000 0.000 0.000 x1
Bi 0.000 0.500 0.500 x2
Os 0.500 0.500 0.500 x1
Pb 0.500 0.500 0.000 x1

Output
Formation enthalpy at 0 K = 1.11 eV/atom
V = 149 Å³/cell
Density of states at the Fermi level = 2.71 states/eV/cell
VASP energy = -4.17 eV per atom

---

Record 6
Density functional theory data (PBE) for a geometry-optimized Dy4Tm7Sc structure.

Lattice parameters (Å, degrees): 11.246 5.244 12.847 90.00 104.56 90.00
Space group C2/m (No. 12)
One atom of each set of equivalent atoms:
Dy 0.042 0.000 0.284 x4
Dy 0.173 0.500 0.765 x4
Tm 0.000 0.500 0.500 x2
Tm 0.089 0.500 0.128 x4
Tm 0.140 0.000 0.966 x4
Tm 0.235 0.500 0.398 x4
Sc 0.000 0.000 0.500 x2

Output
Formation enthalpy at 0 K = 0.21 eV/atom
V = 733 Å³/cell
Offset from the most stable computed form = 110 meV/atom
Density of states at the Fermi level = 33.95 states/eV/cell
VASP energy = -4.46 eV per atom